Entry 1:
First-principles (PBE) data for crystalline HfTa at its relaxed geometry, as listed in the Alexandria database.

Unit cell a=7.6854 b=7.6854 c=7.6854 alpha=90.00 beta=90.00 gamma=90.00
Closest atoms and distances in Å follow each position.
Positions (direct):
Hf 0.5000 0.7500 0.0000  4 Ta 2.72
Hf 0.0000 0.5000 0.7500  4 Ta 2.72
Hf 0.2500 0.0000 0.5000  4 Ta 2.72
Hf 0.0000 0.5000 0.2500  4 Ta 2.72
Hf 0.5000 0.2500 0.0000  4 Ta 2.72
Hf 0.7500 0.0000 0.5000  4 Ta 2.72
Ta 0.7500 0.5000 0.0000  4 Hf 2.72
Ta 0.5000 0.0000 0.2500  4 Hf 2.72
Ta 0.0000 0.7500 0.5000  4 Hf 2.72
Ta 0.5000 0.0000 0.7500  4 Hf 2.72
Ta 0.0000 0.2500 0.5000  4 Hf 2.72
Ta 0.2500 0.5000 0.0000  4 Hf 2.72

## Properties
As for the space group: No. 223.

Entry 2:
First-principles (PBE) data for crystalline GaTcAs3 at its relaxed geometry, as listed in the Alexandria database.

Unit cell a=4.8212 b=4.8212 c=4.8212 alpha=90.00 beta=90.00 gamma=90.00
Closest atoms and distances in Å follow each position.
Positions (direct):
Tc 0.5000 0.5000 0.5000  12 As 3.41
As 0.0000 0.5000 0.0000  2 Ga 2.41
As 0.5000 0.0000 0.0000  2 Ga 2.41
As 0.0000 0.0000 0.5000  2 Ga 2.41
Ga 0.0000 0.0000 0.0000  6 As 2.41

## Properties
As for the space group: No. 221. Its polymorph energy (0 for the lowest one) is 0.782 eV per atom.

Entry 3:
First-principles (PBE) data for crystalline VAgSe2N at its relaxed geometry, as listed in the Alexandria database.

Unit cell a=5.0303 b=5.0303 c=3.6206 alpha=90.00 beta=90.00 gamma=90.00
Closest atoms and distances in Å follow each position.
Positions (direct):
Se 0.0000 0.5000 0.0000  2 V 2.52
Se 0.5000 0.0000 0.0000  2 V 2.52
N 0.0000 0.0000 0.5000  2 V 1.81
V 0.0000 0.0000 0.0000  2 N 1.81
Ag 0.5000 0.5000 0.5000  8 Se 3.10

## Properties
As for the space group: No. 123. Its polymorph energy (0 for the lowest one) is 0.000 eV per atom. The uncorrected formation energy comes out at 97 meV/atom.

Number 1: final energy -95.47 eV per cell. Number 2: final energy -21.24 eV per cell. Number 3: final energy -26.78 eV per cell.